Entry 1:
The following is a PBE calculation of a relaxed structure of CsVS3, from Alexandria via LeMat-Bulk.

Cell: 10.4414 6.3088 7.4467 Å, 89.00 68.79 131.61°
Last column: nearest neighbours and their distance in Å.
Fractional positions:
Cs 0.9661 0.9632 0.6606  6 S 3.48-3.80
Cs 0.3419 0.8338 0.0292  8 S 3.51-3.93
S 0.8371 0.1209 0.1307  2 V 2.22-2.43
S 0.4585 0.5752 0.6149  1 V 2.09
S 0.8231 0.3071 0.5876  1 V 2.12
S 0.4297 0.4255 0.1767  1 V 2.11
S 0.4415 0.0626 0.4848  1 V 2.16
S 0.9058 0.7320 0.1827  2 V 2.18-2.42
V 0.7376 0.2683 0.3612  4 S 2.12-2.22
V 0.5957 0.5781 0.3284  2 S 2.09-2.11

## Properties
energy relative to the elements, uncorrected = -0.973 eV per atom
SG = P1, No. 1
magnetization = 0.0 Bohr magnetons per cell
energy relative to the lowest polymorph listed for this composition = 6 kJ/mol of formula units

=====

Entry 2:
The following is a PBE calculation of a relaxed structure of LuPu2Hf, from Alexandria via LeMat-Bulk.

Cell: 4.7152 4.6180 4.6180 Å, 90.00 90.00 90.00°
Last column: nearest neighbours and their distance in Å.
Fractional positions:
Lu 0.5000 0.5000 0.5000  4 Hf 3.27, 8 Pu 3.30
Hf 0.5000 0.0000 0.0000  4 Lu 3.27, 8 Pu 3.30
Pu 0.0000 0.0000 0.5000  4 Pu 3.27, 4 Hf 3.30, 4 Lu 3.30
Pu 0.0000 0.5000 0.0000  4 Pu 3.27, 4 Lu 3.30, 4 Hf 3.30

## Properties
SG = P4/mmm, No. 123
magnetization = 11.2 Bohr magnetons per cell
energy relative to the lowest polymorph listed for this composition = 6 kJ/mol of formula units

=====

Entry 3:
The following is a PBE calculation of a relaxed structure of Ag6Br7, from Alexandria via LeMat-Bulk.

Cell: 10.0126 10.0126 10.0126 Å, 41.84 41.84 41.84°
Last column: nearest neighbours and their distance in Å.
Fractional positions:
Br 0.9286 0.4301 0.4301  3 Ag 2.75-2.85
Br 0.4301 0.4301 0.9286  3 Ag 2.75-2.85
Br 0.4301 0.9286 0.4301  3 Ag 2.75-2.85
Br 0.0714 0.5699 0.5699  3 Ag 2.75-2.85
Br 0.5699 0.0714 0.5699  3 Ag 2.75-2.85
Br 0.5699 0.5699 0.0714  3 Ag 2.75-2.85
Br 0.5000 0.5000 0.5000  6 Br 3.34
Ag 0.9101 0.9101 0.9101  1 Ag 2.92
Ag 0.0899 0.0899 0.0899  1 Ag 2.92
Ag 0.8034 0.8034 0.8034  3 Br 2.75, 1 Ag 2.92
Ag 0.1966 0.1966 0.1966  3 Br 2.75, 1 Ag 2.92
Ag 0.6684 0.6684 0.6684  6 Br 2.80-2.85
Ag 0.3316 0.3316 0.3316  6 Br 2.80-2.85

## Properties
energy relative to the elements, uncorrected = 0.194 eV per atom
SG = R-3m, No. 166
magnetization = 1.5 Bohr magnetons per cell

=====

Entry 4:
The following is a PBE calculation of a relaxed structure of AcHoErLu, from Alexandria via LeMat-Bulk.

Cell: 5.7656 5.7656 5.7656 Å, 60.00 60.00 60.00°
Last column: nearest neighbours and their distance in Å.
Fractional positions:
Ac 0.0000 0.0000 0.0000  4 Er 3.53, 4 Lu 3.53
Lu 0.7500 0.7500 0.7500  4 Ho 3.53, 4 Ac 3.53
Ho 0.5000 0.5000 0.5000  4 Er 3.53, 4 Lu 3.53
Er 0.2500 0.2500 0.2500  4 Ho 3.53, 4 Ac 3.53

## Properties
SG = F-43m, No. 216
magnetization = 0.0 Bohr magnetons per cell
VASP energy = -17.3 eV/cell

=====

Entry 5:
The following is a PBE calculation of a relaxed structure of TaTiN2O, from Alexandria via LeMat-Bulk.

Cell: 3.9191 3.9191 3.6230 Å, 90.00 90.00 90.00°
Last column: nearest neighbours and their distance in Å.
Fractional positions:
N 0.0000 0.5000 0.0000  2 Ti 1.96
N 0.5000 0.0000 0.0000  2 Ti 1.96
Ti 0.0000 0.0000 0.0000  2 O 1.81, 4 N 1.96
O 0.0000 0.0000 0.5000  2 Ti 1.81
Ta 0.5000 0.5000 0.5000  8 N 2.67, 4 O 2.77

## Properties
energy relative to the elements, uncorrected = -0.445 eV per atom
SG = P4/mmm, No. 123
magnetization = 0.0 Bohr magnetons per cell

=====

Entry 6:
The following is a PBE calculation of a relaxed structure of BaF, from Alexandria via LeMat-Bulk.

Cell: 5.8077 5.8077 5.8077 Å, 90.00 90.00 90.00°
Last column: nearest neighbours and their distance in Å.
Fractional positions:
Ba 0.5000 0.5000 0.5000  6 F 2.90
Ba 0.5000 0.0000 0.0000  6 F 2.90
Ba 0.0000 0.5000 0.0000  6 F 2.90
Ba 0.0000 0.0000 0.5000  6 F 2.90
F 0.0000 0.0000 0.0000  6 Ba 2.90
F 0.0000 0.5000 0.5000  6 Ba 2.90
F 0.5000 0.0000 0.5000  6 Ba 2.90
F 0.5000 0.5000 0.0000  6 Ba 2.90

## Properties
energy relative to the elements, uncorrected = -2.496 eV per atom
SG = Fm-3m, No. 225
magnetization = 2.7 Bohr magnetons per cell

=====

Entry 7:
The following is a PBE calculation of a relaxed structure of Nd2Pu3ScTe6, from Alexandria via LeMat-Bulk.

Cell: 4.3944 8.8637 9.8825 Å, 103.47 102.85 90.00°
Last column: nearest neighbours and their distance in Å.
Fractional positions:
Nd 0.8338 0.6650 0.6676  6 Te 3.15-3.18
Nd 0.1662 0.3350 0.3324  6 Te 3.15-3.18
Pu 0.5000 0.5000 0.0000  6 Te 3.09-3.21
Pu 0.8288 0.1634 0.6576  6 Te 3.09-3.16
Pu 0.1712 0.8366 0.3424  6 Te 3.09-3.16
Sc 0.5000 0.0000 0.0000  6 Te 2.99-3.04
Te 0.3401 0.9233 0.6801  1 Sc 2.99, 3 Pu 3.10-3.16, 2 Nd 3.15
Te 0.6653 0.5887 0.3306  3 Pu 3.09, 3 Nd 3.15
Te 0.6599 0.0767 0.3199  1 Sc 2.99, 3 Pu 3.10-3.16, 2 Nd 3.15
Te 0.9966 0.2350 0.9932  2 Sc 3.04, 3 Pu 3.14-3.21, 1 Nd 3.18
Te 0.0034 0.7650 0.0068  2 Sc 3.04, 3 Pu 3.14-3.21, 1 Nd 3.18
Te 0.3347 0.4113 0.6694  3 Pu 3.09, 3 Nd 3.15

## Properties
energy relative to the elements, uncorrected = -1.208 eV per atom
SG = C2/m, No. 12
magnetization = 17.8 Bohr magnetons per cell

=====

Entry 8:
The following is a PBE calculation of a relaxed structure of CrCdN2, from Alexandria via LeMat-Bulk.

Cell: 6.5197 6.5197 6.5197 Å, 28.77 28.77 28.77°
Last column: nearest neighbours and their distance in Å.
Fractional positions:
Cr 0.0000 0.0000 0.0000  2 N 1.74
N 0.9073 0.9073 0.9073  1 Cr 1.74
N 0.0927 0.0927 0.0927  1 Cr 1.74
Cd 0.5000 0.5000 0.5000  6 N 2.33

## Properties
energy relative to the elements, uncorrected = 1.015 eV per atom
SG = R-3m, No. 166
magnetization = 0.0 Bohr magnetons per cell

=====

Number 1: V 31.8 Å³/atom. Number 2: V 25.1 Å³/atom. Number 3: V 31.1 Å³/atom. Number 4: V 33.9 Å³/atom. Number 5: V 11.1 Å³/atom. Number 6: V 24.5 Å³/atom. Number 7: V 30.4 Å³/atom. Number 8: V 14.2 Å³/atom.